(1)
Computed, not measured: ErTePd4 after structural relaxation at the GGA-PBE level of DFT.

```
ErTePd4
1.0
0.000 3.829 3.829
3.829 0.000 3.829
3.829 3.829 0.000
Er Te Pd
1 1 4
Direct
0.000 0.000 0.000 Er
0.750 0.750 0.750 Te
0.374 0.374 0.374 Pd
0.374 0.374 0.877 Pd
0.374 0.877 0.374 Pd
0.877 0.374 0.374 Pd
```

Results
Final energy = -31.6 eV/cell
Formation energy (no corrections) = -0.52 eV per atom

(2)
Computed, not measured: ErTePd2 after structural relaxation at the GGA-PBE level of DFT.

```
ErTePd2
1.0
4.320 0.000 0.000
0.000 4.320 0.000
0.000 0.000 4.282
Er Te Pd
1 1 2
Direct
0.000 0.000 0.000 Er
0.500 0.500 0.000 Te
0.000 0.500 0.500 Pd
0.500 0.000 0.500 Pd
```

Results
Final energy = -21.1 eV/cell
ΔE to the lowest computed polymorph = 0 meV per atom
Formation energy (no corrections) = -0.76 eV per atom

(3)
Computed, not measured: Er2TePd after structural relaxation at the GGA-PBE level of DFT.

```
Er2TePd
1.0
4.151 0.000 0.000
-2.075 3.595 0.000
0.000 0.000 21.591
Er Te Pd
6 3 3
Direct
0.000 0.000 0.000 Er
0.000 0.000 0.194 Er
0.333 0.667 0.667 Er
0.333 0.667 0.861 Er
0.667 0.333 0.333 Er
0.667 0.333 0.527 Er
0.000 0.000 0.430 Te
0.333 0.667 0.097 Te
0.667 0.333 0.763 Te
0.000 0.000 0.596 Pd
0.333 0.667 0.263 Pd
0.667 0.333 0.930 Pd
```

Results
Final energy = -64.9 eV/cell
ΔE to the lowest computed polymorph = 24 meV per atom
Formation energy (no corrections) = -1.05 eV per atom

(4)
Computed, not measured: Er2TePd after structural relaxation at the GGA-PBE level of DFT.

```
Er2TePd
1.0
3.772 0.000 0.000
-1.886 3.267 0.000
0.000 0.000 28.137
Er Te Pd
6 3 3
Direct
0.000 0.000 0.092 Er
0.000 0.000 0.908 Er
0.333 0.667 0.575 Er
0.333 0.667 0.759 Er
0.667 0.333 0.241 Er
0.667 0.333 0.425 Er
0.000 0.000 0.500 Te
0.333 0.667 0.167 Te
0.667 0.333 0.833 Te
0.000 0.000 0.000 Pd
0.333 0.667 0.667 Pd
0.667 0.333 0.333 Pd
```

Results
Final energy = -55.8 eV/cell
ΔE to the lowest computed polymorph = 788 meV per atom
Formation energy (no corrections) = -0.28 eV per atom

(5)
Computed, not measured: Er4Te2Pd after structural relaxation at the GGA-PBE level of DFT.

```
Er4Te2Pd
1.0
-4.478 4.716 4.782
4.478 -4.716 4.782
4.478 4.716 -4.782
Er Te Pd
8 4 2
Direct
0.179 0.222 0.543 Er
0.179 0.635 0.957 Er
0.218 0.182 0.036 Er
0.355 0.818 0.536 Er
0.645 0.182 0.464 Er
0.782 0.818 0.964 Er
0.821 0.365 0.043 Er
0.821 0.778 0.457 Er
0.000 0.500 0.500 Te
0.500 0.000 0.000 Te
0.500 0.500 0.000 Te
0.500 0.500 0.500 Te
0.102 0.852 0.250 Pd
0.898 0.148 0.750 Pd
```

Results
Final energy = -71.6 eV/cell
Formation energy (no corrections) = -0.87 eV per atom

(6)
Computed, not measured: Er3TePd after structural relaxation at the GGA-PBE level of DFT.

```
Er3TePd
1.0
8.351 -2.086 0.000
8.351 2.086 0.000
-5.190 0.000 8.064
Er Te Pd
6 2 2
Direct
0.057 0.057 0.390 Er
0.248 0.248 0.336 Er
0.402 0.402 0.039 Er
0.598 0.598 0.961 Er
0.752 0.752 0.664 Er
0.943 0.943 0.610 Er
0.163 0.163 0.789 Te
0.837 0.837 0.211 Te
0.387 0.387 0.724 Pd
0.613 0.613 0.276 Pd
```

Results
Final energy = -51.4 eV/cell
Formation energy (no corrections) = -0.74 eV per atom

(7)
Computed, not measured: Er3TePd12 after structural relaxation at the GGA-PBE level of DFT.

```
Er3TePd12
1.0
4.094 0.000 0.000
0.000 4.094 0.000
0.000 0.000 16.428
Er Te Pd
3 1 12
Direct
0.000 0.000 0.000 Er
0.000 0.000 0.248 Er
0.000 0.000 0.752 Er
0.000 0.000 0.500 Te
0.000 0.500 0.126 Pd
0.000 0.500 0.377 Pd
0.000 0.500 0.623 Pd
0.000 0.500 0.874 Pd
0.500 0.000 0.126 Pd
0.500 0.000 0.377 Pd
0.500 0.000 0.623 Pd
0.500 0.000 0.874 Pd
0.500 0.500 0.000 Pd
0.500 0.500 0.253 Pd
0.500 0.500 0.500 Pd
0.500 0.500 0.747 Pd
```

Results
Final energy = -90.7 eV/cell
Formation energy (no corrections) = -0.72 eV per atom

(8)
Computed, not measured: Er4TePd after structural relaxation at the GGA-PBE level of DFT.

```
Er4TePd
1.0
8.272 0.000 0.000
0.000 3.897 0.000
0.000 0.000 19.491
Er Te Pd
16 4 4
Direct
0.017 0.250 0.069 Er
0.045 0.750 0.216 Er
0.134 0.750 0.654 Er
0.145 0.750 0.447 Er
0.355 0.250 0.947 Er
0.366 0.250 0.154 Er
0.455 0.250 0.716 Er
0.483 0.750 0.569 Er
0.517 0.250 0.431 Er
0.545 0.750 0.284 Er
0.634 0.750 0.846 Er
0.645 0.750 0.053 Er
0.855 0.250 0.553 Er
0.866 0.250 0.346 Er
0.955 0.250 0.784 Er
0.983 0.750 0.931 Er
0.245 0.250 0.314 Te
0.255 0.750 0.814 Te
0.745 0.250 0.186 Te
0.755 0.750 0.686 Te
0.227 0.250 0.551 Pd
0.273 0.750 0.051 Pd
0.727 0.250 0.949 Pd
0.773 0.750 0.449 Pd
```

Results
Final energy = -124.3 eV/cell
ΔE to the lowest computed polymorph = 0 meV per atom
Formation energy (no corrections) = -0.75 eV per atom

(9)
Computed, not measured: Er7Te2Pd2 after structural relaxation at the GGA-PBE level of DFT.

```
Er7Te2Pd2
1.0
-1.968 7.387 5.070
1.968 -7.387 5.070
1.968 7.387 -5.070
Er Te Pd
7 2 2
Direct
0.000 0.000 0.000 Er
0.063 0.377 0.686 Er
0.168 0.783 0.384 Er
0.399 0.783 0.616 Er
0.507 0.621 0.887 Er
0.692 0.377 0.314 Er
0.734 0.621 0.113 Er
0.321 0.100 0.221 Te
0.879 0.100 0.779 Te
0.391 0.391 0.000 Pd
0.769 0.269 0.500 Pd
```

Results
Final energy = -56.9 eV/cell
ΔE to the lowest computed polymorph = 90 meV per atom
Formation energy (no corrections) = -0.76 eV per atom

(10)
Computed, not measured: Er4TePd after structural relaxation at the GGA-PBE level of DFT.

```
Er4TePd
1.0
7.593 -3.440 0.000
7.593 3.440 0.000
-1.942 0.000 6.734
Er Te Pd
8 2 2
Direct
0.023 0.165 0.465 Er
0.165 0.023 0.965 Er
0.263 0.413 0.856 Er
0.413 0.263 0.356 Er
0.587 0.737 0.644 Er
0.737 0.587 0.144 Er
0.835 0.977 0.035 Er
0.977 0.835 0.535 Er
0.324 0.676 0.250 Te
0.676 0.324 0.750 Te
0.000 0.500 0.500 Pd
0.500 0.000 0.000 Pd
```

Results
Final energy = -59.5 eV/cell
ΔE to the lowest computed polymorph = 218 meV per atom
Formation energy (no corrections) = -0.53 eV per atom

(11)
Computed, not measured: ErTe2Pd9 after structural relaxation at the GGA-PBE level of DFT.

```
ErTe2Pd9
1.0
4.107 0.000 0.000
0.000 4.107 0.000
0.000 0.000 12.207
Er Te Pd
1 2 9
Direct
0.000 0.000 0.000 Er
0.000 0.000 0.333 Te
0.000 0.000 0.667 Te
0.000 0.500 0.168 Pd
0.000 0.500 0.500 Pd
0.000 0.500 0.832 Pd
0.500 0.000 0.168 Pd
0.500 0.000 0.500 Pd
0.500 0.000 0.832 Pd
0.500 0.500 0.000 Pd
0.500 0.500 0.337 Pd
0.500 0.500 0.663 Pd
```

Results
Final energy = -62.6 eV/cell
Formation energy (no corrections) = -0.42 eV per atom

Question: What is the final energy in the first record?
Answer: -31.6 eV/cell

Question: Number 2 is which compound?
Answer: ErTePd2

What did the sixth record say?
Computed, not measured: Er3TePd after structural relaxation at the GGA-PBE level of DFT.

```
Er3TePd
1.0
8.351 -2.086 0.000
8.351 2.086 0.000
-5.190 0.000 8.064
Er Te Pd
6 2 2
Direct
0.057 0.057 0.390 Er
0.248 0.248 0.336 Er
0.402 0.402 0.039 Er
0.598 0.598 0.961 Er
0.752 0.752 0.664 Er
0.943 0.943 0.610 Er
0.163 0.163 0.789 Te
0.837 0.837 0.211 Te
0.387 0.387 0.724 Pd
0.613 0.613 0.276 Pd
```

Results
Final energy = -51.4 eV/cell
Formation energy (no corrections) = -0.74 eV per atom